1.
Computed, not measured: Ac3SmHg2 after structural relaxation at the PBE level of DFT.

## Properties
DOS(E_F): 9.06 states/eV/cell
Energy above the most stable polymorph in this dataset: 0 meV/atom
E_form: -27.5 kJ per mole of atoms
Electronic total energy: -38.714 eV/cell

Cell and atoms, written as CIF:
```
data_Ac3SmHg2
_cell_length_a 5.592
_cell_length_b 10.272
_cell_length_c 7.357
_cell_angle_alpha 90.00
_cell_angle_beta 90.00
_cell_angle_gamma 90.00
_space_group_name_H-M_alt 'P m c 21'
_space_group_IT_number 26
loop_
_space_group_symop_operation_xyz
'x,y,z'
'-x,-y,z+1/2'
'-x,y,z'
'x,-y,z+1/2'
loop_
_atom_site_label
_atom_site_fract_x
_atom_site_fract_y
_atom_site_fract_z
Ac1 0.000 0.059 0.000
Ac2 0.000 0.334 0.341
Ac3 0.500 0.180 0.677
Sm1 0.500 0.441 0.024
Hg1 0.000 0.353 0.803
Hg2 0.500 0.154 0.224
```



2.
Computed, not measured: Ac2Sm3Hg4 after structural relaxation at the PBE level of DFT.

## Properties
DOS(E_F): 38.78 states/eV/cell
Energy above the most stable polymorph in this dataset: 47 meV/atom
E_form: -34.1 kJ per mole of atoms
Electronic total energy: -107.046 eV/cell

Cell and atoms, written as CIF:
```
data_Ac2Sm3Hg4
_cell_length_a 7.261
_cell_length_b 17.962
_cell_length_c 8.752
_cell_angle_alpha 90.00
_cell_angle_beta 90.00
_cell_angle_gamma 90.00
_space_group_name_H-M_alt 'C m c e'
_space_group_IT_number 64
_space_group_name_Hall '-C 2ac 2'
loop_
_atom_site_label
_atom_site_fract_x
_atom_site_fract_y
_atom_site_fract_z
Ac1 0.000 0.100 0.085
Sm1 0.000 0.000 0.500
Sm2 0.250 0.232 0.750
Hg1 0.000 0.174 0.469
Hg2 0.250 0.059 0.750
```



3.
Computed, not measured: AcSm4Hg after structural relaxation at the PBE level of DFT.

## Properties
DOS(E_F): 15.31 states/eV/cell
Energy above the most stable polymorph in this dataset: 39 meV/atom
E_form: -9.1 kJ per mole of atoms
Electronic total energy: -47.706 eV/cell

Cell and atoms, written as CIF:
```
data_AcSm4Hg
_cell_length_a 6.800
_cell_length_b 9.990
_cell_length_c 6.734
_cell_angle_alpha 90.00
_cell_angle_beta 118.40
_cell_angle_gamma 90.00
_space_group_name_H-M_alt 'P 1 21/c 1'
_space_group_IT_number 14
loop_
_space_group_symop_operation_xyz
'x,y,z'
'-x,-y,-z'
'-x,y+1/2,-z+1/2'
'x,-y+1/2,z+1/2'
loop_
_atom_site_label
_atom_site_fract_x
_atom_site_fract_y
_atom_site_fract_z
Ac1 0.000 0.000 0.000
Sm1 0.135 0.149 0.591
Sm2 0.400 0.679 0.349
Hg1 0.500 0.000 0.500
```



Look up the DOS(E_F) of the second one.
38.78 states/eV/cell